(1)
This record from Alexandria via LeMat-Bulk describes TcPb2Se after structural relaxation. The functional is GGA-PBE.

Structure (POSCAR):
```
TcPb2Se
1.0
-0.2652 4.7995 6.7486
-3.5924 -0.9260 -3.7011
-2.2034 -1.0566 2.4001
Pb Se Tc
2 1 1
Direct
0.0000 0.0000 0.0000
0.5000 0.0000 0.5000
0.0000 0.5000 0.5000
0.5000 0.5000 0.0000
```

Calculated values
Excess energy over the best structure of this formula in the dataset (eV per atom): 0.4902
Fermi-level density of states (states/eV/f.u.): 2.07
V (Å³/f.u.): 94.0
Calculated density (g/cm3): 10.45



(2)
This record from Alexandria via LeMat-Bulk describes Pr2LuSn after structural relaxation. The functional is GGA-PBE.

Structure (POSCAR):
```
Pr2LuSn
1.0
-4.0545 2.8398 0.1555
-1.4368 -2.2753 4.0900
2.4166 3.3033 2.6866
Lu Pr Sn
1 2 1
Direct
0.5000 0.5000 0.5000
0.0000 0.5000 0.0000
0.0000 0.0000 0.5000
0.5000 0.0000 0.0000
```

Calculated values
Excess energy over the best structure of this formula in the dataset (eV per atom): 0.0000
Fermi-level density of states (states/eV/f.u.): 3.86
V (Å³/f.u.): 118.7
Energy of formation (meV/atom): -411
Calculated density (g/cm3): 8.05



(3)
This record from Alexandria via LeMat-Bulk describes ZnCd2Cu after structural relaxation. The functional is GGA-PBE.

Structure (POSCAR):
```
ZnCd2Cu
1.0
-5.2386 1.9325 -2.4980
-1.1461 0.8155 -5.9531
1.5174 -3.4553 4.8142
Cd Zn Cu
2 1 1
Direct
0.7101 0.2102 0.5000
0.0011 0.0011 0.0000
0.2987 0.7987 0.5000
0.4900 0.4900 0.0000
```

Calculated values
Fermi-level density of states (states/eV/f.u.): 0.83
V (Å³/f.u.): 73.6
Energy of formation (meV/atom): 45
Calculated density (g/cm3): 7.98



(4)
This record from Alexandria via LeMat-Bulk describes Ca3MgAg3 after structural relaxation. The functional is GGA-PBE.

Structure (POSCAR):
```
Ca3MgAg3
1.0
4.2928 0.0000 0.6467
2.1074 5.9867 0.5821
-0.0026 0.1739 14.5893
Ca Ag Mg
6 6 2
Direct
0.3922 0.2928 0.9229
0.6078 0.7072 0.0771
0.2624 0.2493 0.2258
0.7376 0.7507 0.7742
0.5093 0.3566 0.6249
0.4907 0.6434 0.3751
0.9684 0.8299 0.2334
0.1230 0.3009 0.4530
0.8904 0.1437 0.0756
0.0316 0.1701 0.7666
0.8770 0.6991 0.5470
0.1096 0.8563 0.9244
0.7696 0.0535 0.4072
0.2304 0.9465 0.5928
```

Calculated values
Excess energy over the best structure of this formula in the dataset (eV per atom): 0.0000
Fermi-level density of states (states/eV/f.u.): 3.78
V (Å³/f.u.): 187.4
Energy of formation (meV/atom): -285
Calculated density (g/cm3): 4.15



(5)
This record from Alexandria via LeMat-Bulk describes PrGdErAg after structural relaxation. The functional is GGA-PBE.

Structure (POSCAR):
```
PrGdErAg
1.0
5.4532 0.0000 0.0000
2.7266 4.7226 0.0000
2.7266 1.5742 4.4525
Ag Gd Pr Er
1 1 1 1
Direct
0.7500 0.7500 0.7500
0.0000 0.0000 0.0000
0.5000 0.5000 0.5000
0.2500 0.2500 0.2500
```

Calculated values
Fermi-level density of states (states/eV/f.u.): 3.95
V (Å³/f.u.): 114.7
Energy of formation (meV/atom): 54
Calculated density (g/cm3): 8.30



(6)
This record from Alexandria via LeMat-Bulk describes Ba3NpPd2O9 after structural relaxation. The functional is GGA-PBE.

Structure (POSCAR):
```
Ba3NpPd2O9
1.0
5.9357 0.0000 0.0000
-2.9678 5.1405 0.0000
0.0000 0.0000 7.3745
Pd O Ba Np
2 9 3 1
Direct
0.6667 0.3333 0.8333
0.3333 0.6667 0.1667
0.1614 0.3228 0.3359
0.0000 0.5000 0.0000
0.5000 0.0000 0.0000
0.3228 0.1614 0.6641
0.1614 0.8386 0.3359
0.8386 0.6772 0.6641
0.8386 0.1614 0.6641
0.6772 0.8386 0.3359
0.5000 0.5000 0.0000
0.6667 0.3333 0.2957
0.3333 0.6667 0.7043
0.0000 0.0000 0.0000
0.0000 0.0000 0.5000
```

Calculated values
Fermi-level density of states (states/eV/f.u.): 8.41
V (Å³/f.u.): 225.0
Calculated density (g/cm3): 7.42
VASP energy (eV/f.u.): -104.52



(7)
This record from Alexandria via LeMat-Bulk describes BaCd2Hg4Pb after structural relaxation. The functional is GGA-PBE.

Structure (POSCAR):
```
BaCd2Hg4Pb
1.0
5.0466 0.0000 0.0000
2.5233 4.3705 0.0000
2.5233 1.4568 10.4544
Ba Cd Hg Pb
1 2 4 1
Direct
0.0000 0.0000 0.0000
0.2455 0.2455 0.2636
0.7545 0.7545 0.7364
0.6075 0.6075 0.1775
0.1235 0.1235 0.6296
0.8765 0.8765 0.3704
0.3925 0.3925 0.8225
0.5000 0.5000 0.5000
```

Calculated values
Fermi-level density of states (states/eV/f.u.): 3.30
V (Å³/f.u.): 230.6
Energy of formation (meV/atom): -204
Calculated density (g/cm3): 9.88



(8)
This record from Alexandria via LeMat-Bulk describes Na3Ac2USe6 after structural relaxation. The functional is GGA-PBE.

Structure (POSCAR):
```
Na3Ac2USe6
1.0
4.4047 0.0000 0.0000
0.0000 8.6885 0.4246
-2.2024 -2.3936 9.1867
Ac Se Na U
2 6 3 1
Direct
0.1649 0.3285 0.3298
0.8351 0.6715 0.6702
0.9989 0.2279 0.9977
0.6592 0.0762 0.3184
0.3331 0.4179 0.6662
0.0011 0.7721 0.0023
0.6669 0.5821 0.3338
0.3408 0.9238 0.6816
0.1656 0.8324 0.3313
0.5000 0.5000 0.0000
0.8344 0.1676 0.6687
0.5000 0.0000 0.0000
```

Calculated values
Fermi-level density of states (states/eV/f.u.): 9.05
V (Å³/f.u.): 356.1
Calculated density (g/cm3): 5.76
VASP energy (eV/f.u.): -62.57



(9)
This record from Alexandria via LeMat-Bulk describes BiP2Pd2 after structural relaxation. The functional is GGA-PBE.

Structure (POSCAR):
```
BiP2Pd2
1.0
-1.0582 2.2188 3.0837
-2.6715 -2.7105 1.0335
2.2004 -2.9727 5.4157
P Pd Bi
2 2 1
Direct
0.2500 0.7500 0.5000
0.7500 0.2500 0.5000
0.6204 0.6204 0.7593
0.3796 0.3796 0.2407
0.0000 0.0000 0.0000
```

Calculated values
Excess energy over the best structure of this formula in the dataset (eV per atom): 0.0918
Fermi-level density of states (states/eV/f.u.): 2.89
V (Å³/f.u.): 92.3
Energy of formation (meV/atom): -74
Calculated density (g/cm3): 8.70



(10)
This record from Alexandria via LeMat-Bulk describes Zr5ZnIr6 after structural relaxation. The functional is GGA-PBE.

Structure (POSCAR):
```
Zr5ZnIr6
1.0
-2.2770 -1.7198 3.3233
-6.0077 0.1626 -4.0319
5.4713 -5.2812 -1.8702
Zn Zr Ir
1 5 6
Direct
0.0000 0.0000 0.0000
0.3352 0.3351 0.6702
0.6648 0.6649 0.3298
0.3397 0.8398 0.6796
0.0000 0.5000 0.0000
0.6603 0.1602 0.3204
0.8334 0.0768 0.6668
0.1665 0.4100 0.3332
0.4998 0.2448 0.0000
0.1666 0.9232 0.3332
0.5002 0.7552 0.0000
0.8335 0.5900 0.6668
```

Calculated values
Fermi-level density of states (states/eV/f.u.): 8.51
V (Å³/f.u.): 208.9
Energy of formation (meV/atom): -725
Calculated density (g/cm3): 13.31



(11)
This record from Alexandria via LeMat-Bulk describes Be2PIr2 after structural relaxation. The functional is GGA-PBE.

Structure (POSCAR):
```
Be2PIr2
1.0
6.4478 0.0000 0.0000
0.0000 6.4478 0.0000
0.0000 0.0000 2.8400
Ir Be P
4 4 2
Direct
0.8258 0.3258 0.5000
0.6742 0.8258 0.5000
0.1742 0.6742 0.5000
0.3258 0.1742 0.5000
0.6197 0.1197 0.0000
0.3803 0.8803 0.0000
0.8803 0.6197 0.0000
0.1197 0.3803 0.0000
0.5000 0.5000 0.0000
0.0000 0.0000 0.0000
```

Calculated values
Excess energy over the best structure of this formula in the dataset (eV per atom): 0.1569
Fermi-level density of states (states/eV/f.u.): 3.76
V (Å³/f.u.): 59.0
Energy of formation (meV/atom): -98
Calculated density (g/cm3): 12.19



(12)
This record from Alexandria via LeMat-Bulk describes Nd2TlI after structural relaxation. The functional is GGA-PBE.

Structure (POSCAR):
```
Nd2TlI
1.0
7.8751 0.1356 0.0000
-2.8129 7.4431 0.0000
-2.5311 -3.7893 9.0632
I Nd Tl
4 8 4
Direct
0.8087 0.5587 0.1173
0.4331 0.6831 0.3663
0.1913 0.4413 0.8827
0.5669 0.3169 0.6337
0.3066 0.5690 0.6239
0.1827 0.9451 0.3761
0.0499 0.2857 0.1261
0.8173 0.0549 0.6239
0.9501 0.7143 0.8739
0.6934 0.4310 0.3761
0.5762 0.8404 0.1261
0.4238 0.1596 0.8739
0.6823 0.9323 0.8646
0.3177 0.0677 0.1354
0.9425 0.1925 0.3849
0.0575 0.8075 0.6151
```

Calculated values
Excess energy over the best structure of this formula in the dataset (eV per atom): 0.0000
Fermi-level density of states (states/eV/f.u.): 1.81
V (Å³/f.u.): 133.7
Calculated density (g/cm3): 7.70